MgTaTc2: relaxed, GGA-PBE.

Lattice parameters (Å, degrees): 2.8749 4.1042 5.4946 90.00 90.00 90.00
With the nearest neighbours (Å) after each atom.
Atoms (fractional coordinates):
1 Mg 0.0000 0.0000 0.0000  6 Tc 2.65-2.87, 2 Mg 2.87, 4 Ta 2.92
2 Ta 0.5000 0.5000 0.2743  5 Tc 2.59-2.84, 2 Ta 2.87
3 Tc 0.0000 0.0000 0.5172  2 Mg 2.65-2.84, 6 Tc 2.80-2.87, 4 Ta 2.84
4 Tc 0.5000 0.5000 0.7453  1 Ta 2.59, 6 Tc 2.80-2.87, 4 Mg 2.87

The formation energy from the elements is 0.67 eV per formula unit. The total energy is -8.38 eV/atom.

***

SrNdIrO6: relaxed, GGA-PBE.

Lattice parameters (Å, degrees): 5.7537 5.7537 10.0725 90.00 90.00 120.00
With the nearest neighbours (Å) after each atom.
Atoms (fractional coordinates):
1 Sr 0.0000 0.0000 0.0000  6 O 2.55
2 Sr 0.0000 0.0000 0.5000  6 O 2.55
3 Nd 0.3333 0.6667 0.2500  6 O 2.36
4 Nd 0.6667 0.3333 0.7500  6 O 2.36
5 Ir 0.3333 0.6667 0.7500  6 O 1.93
6 Ir 0.6667 0.3333 0.2500  6 O 1.93
7 O 0.0553 0.3920 0.6416  1 Ir 1.93
8 O 0.0553 0.6633 0.8584  1 Ir 1.93
9 O 0.3367 0.3920 0.8584  1 Ir 1.93
10 O 0.3367 0.9447 0.6416  1 Ir 1.93
11 O 0.3920 0.0553 0.1416  1 Ir 1.93
12 O 0.3920 0.3367 0.3584  1 Ir 1.93
13 O 0.6080 0.6633 0.6416  1 Ir 1.93
14 O 0.6080 0.9447 0.8584  1 Ir 1.93
15 O 0.6633 0.0553 0.3584  1 Ir 1.93
16 O 0.6633 0.6080 0.1416  1 Ir 1.93
17 O 0.9447 0.3367 0.1416  1 Ir 1.93
18 O 0.9447 0.6080 0.3584  1 Ir 1.93

The value obtained for the uncorrected formation energy is -1844 meV/atom. The total energy is -6.85 eV/atom.

***

ErTm3Sc: relaxed, GGA-PBE.

Lattice parameters (Å, degrees): 6.0804 6.5013 8.9098 107.66 90.03 117.88
With the nearest neighbours (Å) after each atom.
Atoms (fractional coordinates):
1 Er 0.0325 0.4035 0.1527  9 Tm 3.40-3.57, 1 Er 3.42, 2 Sc 3.50-3.52
2 Er 0.9675 0.5965 0.8473  9 Tm 3.40-3.57, 1 Er 3.42, 2 Sc 3.50-3.52
3 Tm 0.1670 0.0052 0.2527  3 Sc 3.37-3.47, 3 Er 3.40-3.57, 6 Tm 3.40-3.54
4 Tm 0.2343 0.8003 0.5490  6 Tm 3.39-3.51, 4 Sc 3.39-3.51, 2 Er 3.40-3.48
5 Tm 0.4337 0.2022 0.9480  6 Tm 3.38-3.54, 4 Er 3.40-3.54, 2 Sc 3.41-3.54
6 Tm 0.5663 0.7978 0.0520  6 Tm 3.38-3.54, 4 Er 3.40-3.54, 2 Sc 3.41-3.54
7 Tm 0.7657 0.1997 0.4510  6 Tm 3.39-3.51, 4 Sc 3.39-3.51, 2 Er 3.40-3.48
8 Tm 0.8330 0.9948 0.7473  3 Sc 3.37-3.47, 3 Er 3.40-3.57, 6 Tm 3.40-3.54
9 Sc 0.3682 0.4018 0.6471  1 Sc 3.35, 9 Tm 3.37-3.54, 2 Er 3.50-3.52
10 Sc 0.6318 0.5982 0.3529  1 Sc 3.35, 9 Tm 3.37-3.54, 2 Er 3.50-3.52

Its relative energy among the computed polymorphs is 0 meV per atom. The formation energy from the elements is 0.04 eV per formula unit. The total energy is -4.85 eV/atom.